Entry 1:
Mn2CrO4: PBEsol geometry, SCAN.

```
data_Mn2CrO4
_chemical_formula_sum 'Mn8 Cr4 O16'
_cell_length_a 8.242
_cell_length_b 8.361
_cell_length_c 5.967
_cell_angle_alpha 90.00
_cell_angle_beta 132.97
_cell_angle_gamma 90.00
_symmetry_space_group_name_H-M 'C 1 2/c 1'
_symmetry_Int_Tables_number 15
loop_
_symmetry_equiv_pos_as_xyz
'x,y,z'
'-x,-y,-z'
'-x,y,-z+1/2'
'x,-y,z+1/2'
'x+1/2,y+1/2,z'
'-x+1/2,-y+1/2,-z'
'-x+1/2,y+1/2,-z+1/2'
'x+1/2,-y+1/2,z+1/2'
loop_
_atom_site_label
_atom_site_type_symbol
_atom_site_fract_x
_atom_site_fract_y
_atom_site_fract_z
Mn1 Mn 0.000 0.120 0.250
Mn2 Mn 0.250 0.250 0.000
Cr1 Cr 0.000 0.500 0.000
O1 O 0.018 0.263 0.002
O2 O 0.221 0.486 0.957
```

* energy relative to the elements, uncorrected: -2.30 eV/atom

***

Entry 2:
MnCrP2O8: PBEsol geometry, SCAN.

```
data_MnCrP2O8
_chemical_formula_sum 'Mn2 Cr2 P4 O16'
_cell_length_a 4.735
_cell_length_b 5.745
_cell_length_c 9.710
_cell_angle_alpha 90.00
_cell_angle_beta 91.65
_cell_angle_gamma 90.00
_symmetry_space_group_name_H-M 'P 1 21/m 1'
_symmetry_Int_Tables_number 11
loop_
_symmetry_equiv_pos_as_xyz
'x,y,z'
'-x,-y,-z'
'-x,y+1/2,-z'
'x,-y+1/2,z'
loop_
_atom_site_label
_atom_site_type_symbol
_atom_site_fract_x
_atom_site_fract_y
_atom_site_fract_z
Mn1 Mn 0.067 0.250 0.225
Cr1 Cr 0.453 0.250 0.726
P1 P 0.099 0.750 0.093
P2 P 0.392 0.750 0.592
O1 O 0.157 0.750 0.939
O2 O 0.216 0.250 0.884
O3 O 0.250 0.539 0.666
O4 O 0.263 0.545 0.169
O5 O 0.285 0.250 0.385
O6 O 0.329 0.750 0.437
```

* energy relative to the elements, uncorrected: -2.43 eV/atom

***

Entry 3:
Mn3CrP4O16: PBEsol geometry, SCAN.

```
data_Mn3CrP4O16
_chemical_formula_sum 'Mn3 Cr1 P4 O16'
_cell_length_a 4.760
_cell_length_b 5.814
_cell_length_c 9.704
_cell_angle_alpha 90.00
_cell_angle_beta 90.81
_cell_angle_gamma 90.00
_symmetry_space_group_name_H-M 'P 1 m 1'
_symmetry_Int_Tables_number 6
loop_
_symmetry_equiv_pos_as_xyz
'x,y,z'
'x,-y,z'
loop_
_atom_site_label
_atom_site_type_symbol
_atom_site_fract_x
_atom_site_fract_y
_atom_site_fract_z
Mn1 Mn 0.000 0.000 0.000
Mn2 Mn 0.135 0.500 0.443
Mn3 Mn 0.637 0.000 0.504
Cr1 Cr 0.524 0.500 0.948
P1 P 0.164 0.000 0.318
P2 P 0.470 0.000 0.817
P3 P 0.674 0.500 0.628
P4 P 0.969 0.500 0.128
O1 O 0.214 0.000 0.163
O2 O 0.283 0.500 0.105
O3 O 0.317 0.207 0.390
O4 O 0.327 0.210 0.889
O5 O 0.355 0.500 0.603
O6 O 0.413 0.000 0.661
O7 O 0.737 0.500 0.782
O8 O 0.791 0.000 0.838
O9 O 0.809 0.297 0.052
O10 O 0.821 0.294 0.554
O11 O 0.846 0.000 0.342
O12 O 0.907 0.500 0.282
```

* energy relative to the elements, uncorrected: -2.40 eV/atom

***

Entry 4:
MnCr3P4O16: PBEsol geometry, SCAN.

```
data_MnCr3P4O16
_chemical_formula_sum 'Mn1 Cr3 P4 O16'
_cell_length_a 4.704
_cell_length_b 5.670
_cell_length_c 9.727
_cell_angle_alpha 90.00
_cell_angle_beta 90.84
_cell_angle_gamma 90.00
_symmetry_space_group_name_H-M 'P 1 m 1'
_symmetry_Int_Tables_number 6
loop_
_symmetry_equiv_pos_as_xyz
'x,y,z'
'x,-y,z'
loop_
_atom_site_label
_atom_site_type_symbol
_atom_site_fract_x
_atom_site_fract_y
_atom_site_fract_z
Mn1 Mn 0.000 0.000 0.000
Cr1 Cr 0.113 0.500 0.455
Cr2 Cr 0.519 0.500 0.952
Cr3 Cr 0.614 0.000 0.494
P1 P 0.166 0.000 0.315
P2 P 0.461 0.000 0.815
P3 P 0.677 0.500 0.635
P4 P 0.959 0.500 0.134
O1 O 0.229 0.000 0.162
O2 O 0.276 0.500 0.110
O3 O 0.316 0.214 0.889
O4 O 0.324 0.210 0.392
O5 O 0.358 0.500 0.612
O6 O 0.403 0.000 0.661
O7 O 0.750 0.500 0.787
O8 O 0.786 0.000 0.840
O9 O 0.798 0.292 0.057
O10 O 0.830 0.290 0.556
O11 O 0.848 0.000 0.336
O12 O 0.894 0.500 0.286
```

* energy relative to the elements, uncorrected: -2.47 eV/atom

***

Entry 5:
Mn7CrP12O48: PBEsol geometry, SCAN.

```
data_Mn7CrP12O48
_chemical_formula_sum 'Mn7 Cr1 P12 O48'
_cell_length_a 8.104
_cell_length_b 8.359
_cell_length_c 11.357
_cell_angle_alpha 90.18
_cell_angle_beta 90.71
_cell_angle_gamma 90.01
_symmetry_space_group_name_H-M 'P 1'
_symmetry_Int_Tables_number 1
loop_
_symmetry_equiv_pos_as_xyz
'x,y,z'
loop_
_atom_site_label
_atom_site_type_symbol
_atom_site_fract_x
_atom_site_fract_y
_atom_site_fract_z
Mn1 Mn 0.000 0.000 0.000
Mn2 Mn 0.001 0.059 0.502
Mn3 Mn 0.495 0.000 0.732
Mn4 Mn 0.496 0.061 0.236
Mn5 Mn 0.500 0.561 0.495
Mn6 Mn 0.505 0.496 0.002
Mn7 Mn 0.994 0.561 0.233
Cr1 Cr 0.997 0.499 0.737
P1 P 0.138 0.649 0.976
P2 P 0.143 0.911 0.266
P3 P 0.219 0.780 0.626
P4 P 0.283 0.278 0.606
P5 P 0.353 0.149 0.969
P6 P 0.358 0.413 0.258
P7 P 0.637 0.914 0.474
P8 P 0.639 0.650 0.763
P9 P 0.716 0.780 0.127
P10 P 0.781 0.279 0.108
P11 P 0.853 0.411 0.468
P12 P 0.859 0.141 0.759
O1 O 0.018 0.603 0.074
O2 O 0.023 0.010 0.341
O3 O 0.072 0.692 0.683
O4 O 0.087 0.814 0.929
O5 O 0.105 0.528 0.873
O6 O 0.116 0.949 0.135
O7 O 0.128 0.728 0.283
O8 O 0.151 0.897 0.534
O9 O 0.174 0.398 0.678
O10 O 0.175 0.107 0.934
O11 O 0.176 0.420 0.217
O12 O 0.180 0.206 0.504
O13 O 0.316 0.656 0.557
O14 O 0.316 0.855 0.730
O15 O 0.321 0.641 0.010
O16 O 0.322 0.952 0.301
O17 O 0.342 0.159 0.699
O18 O 0.367 0.332 0.952
O19 O 0.380 0.533 0.360
O20 O 0.384 0.106 0.098
O21 O 0.407 0.246 0.301
O22 O 0.432 0.365 0.556
O23 O 0.475 0.054 0.892
O24 O 0.479 0.459 0.159
O25 O 0.517 0.958 0.574
O26 O 0.527 0.548 0.840
O27 O 0.564 0.864 0.178
O28 O 0.586 0.747 0.430
O29 O 0.614 0.034 0.373
O30 O 0.615 0.608 0.633
O31 O 0.629 0.832 0.783
O32 O 0.656 0.656 0.036
O33 O 0.676 0.453 0.432
O34 O 0.678 0.141 0.717
O35 O 0.680 0.158 0.179
O36 O 0.682 0.350 0.003
O37 O 0.817 0.902 0.057
O38 O 0.818 0.709 0.231
O39 O 0.819 0.917 0.514
O40 O 0.823 0.607 0.793
O41 O 0.841 0.405 0.198
O42 O 0.865 0.228 0.461
O43 O 0.878 0.032 0.865
O44 O 0.888 0.463 0.597
O45 O 0.909 0.315 0.794
O46 O 0.936 0.196 0.060
O47 O 0.976 0.504 0.392
O48 O 0.982 0.093 0.663
```

* energy relative to the elements, uncorrected: -2.17 eV/atom

***

Entry 6:
Mn2CrP3O12: PBEsol geometry, SCAN.

```
data_Mn2CrP3O12
_chemical_formula_sum 'Mn12 Cr6 P18 O72'
_cell_length_a 8.5069
_cell_length_b 8.5069
_cell_length_c 19.9754
_cell_angle_alpha 90.00
_cell_angle_beta 90.00
_cell_angle_gamma 120.00
_symmetry_space_group_name_H-M 'R -3 c'
_symmetry_Int_Tables_number 167
_symmetry_space_group_name_Hall '-R 3 2"c'
loop_
_atom_site_label
_atom_site_type_symbol
_atom_site_fract_x
_atom_site_fract_y
_atom_site_fract_z
Mn1 Mn 0.0000 0.0000 0.1436
Cr1 Cr 0.0000 0.0000 0.0000
P1 P 0.0000 0.2967 0.2500
O1 O 0.0095 0.1750 0.9283
O2 O 0.0087 0.2028 0.3133
```

* energy relative to the elements, uncorrected: -2.33 eV/atom

***

Entry 7:
MnCr3P6O24: PBEsol geometry, SCAN.

```
data_MnCr3P6O24
_chemical_formula_sum 'Mn3 Cr9 P18 O72'
_cell_length_a 8.1773
_cell_length_b 8.1773
_cell_length_c 21.4115
_cell_angle_alpha 90.00
_cell_angle_beta 90.00
_cell_angle_gamma 120.00
_symmetry_space_group_name_H-M 'R 3'
_symmetry_Int_Tables_number 146
_symmetry_space_group_name_Hall 'R 3'
loop_
_atom_site_label
_atom_site_type_symbol
_atom_site_fract_x
_atom_site_fract_y
_atom_site_fract_z
Mn1 Mn 0.0000 0.0000 0.0000
Cr1 Cr 0.0000 0.0000 0.2150
Cr2 Cr 0.0000 0.0000 0.4944
Cr3 Cr 0.0000 0.0000 0.7091
P1 P 0.0006 0.7182 0.6051
P2 P 0.0033 0.2813 0.1032
O1 O 0.0058 0.8174 0.5436
O2 O 0.0116 0.1861 0.4438
O3 O 0.0764 0.2170 0.7572
O4 O 0.0808 0.2138 0.0496
O5 O 0.1527 0.4775 0.8315
O6 O 0.1596 0.6805 0.9316
O7 O 0.1976 0.7412 0.3250
O8 O 0.1983 0.7481 0.6163
```

* energy relative to the elements, uncorrected: -2.21 eV/atom

***

Entry 8:
Ti3MnCrP6O24: PBEsol geometry, SCAN.

```
data_Ti3MnCrP6O24
_chemical_formula_sum 'Ti9 Mn3 Cr3 P18 O72'
_cell_length_a 8.5585
_cell_length_b 8.5585
_cell_length_c 20.6411
_cell_angle_alpha 90.00
_cell_angle_beta 90.00
_cell_angle_gamma 120.00
_symmetry_space_group_name_H-M 'R 3'
_symmetry_Int_Tables_number 146
_symmetry_space_group_name_Hall 'R 3'
loop_
_atom_site_label
_atom_site_type_symbol
_atom_site_fract_x
_atom_site_fract_y
_atom_site_fract_z
Ti1 Ti 0.0000 0.0000 0.0000
Ti2 Ti 0.0000 0.0000 0.2227
Ti3 Ti 0.0000 0.0000 0.7362
Mn1 Mn 0.0000 0.0000 0.3679
Cr1 Cr 0.0000 0.0000 0.5120
P1 P 0.0088 0.7154 0.1153
P2 P 0.0524 0.3798 0.2873
O1 O 0.0128 0.8201 0.1771
O2 O 0.0166 0.8214 0.0554
O3 O 0.0224 0.8262 0.7872
O4 O 0.0307 0.1870 0.2910
O5 O 0.1505 0.4780 0.2248
O6 O 0.1542 0.4779 0.3480
O7 O 0.1604 0.4702 0.6167
O8 O 0.1780 0.6910 0.1131
```

* energy relative to the elements, uncorrected: -2.67 eV/atom